5
Lattice="6.3036 0.0000 0.0000 0.0000 5.3767 0.0000 0.0000 0.0000 6.3036" Properties=species:S:1:pos:R:3 comment="PBE Sr2TlInBi, relaxed" magmom_total_mub_per_cell=0.00 mass_density_g_cm3=5.47 final_energy_ev_per_atom=-2.496 crystal_system=tetragonal n_ef_per_ev_cell=4.4 e_form_ev_per_atom=-0.0262 pbc="T T T"
Bi 3.1518 2.6883 3.1518
In 0.0000 0.0000 0.0000
Sr 0.0000 0.0000 3.1518
Tl 0.0000 2.6883 0.0000
Sr 3.1518 0.0000 0.0000